Entry from Alexandria: a geometry-optimized LiAgOs structure (GGA-PBE).

Unit cell a=4.869 b=4.869 c=4.869 alpha=149.50 beta=127.74 gamma=61.72
Positions (direct):
Ag1 0.001 0.001 0.000
Li1 0.332 0.332 0.000
Os1 0.667 0.667 0.000

Computed properties:
DFT formation energy	1.69	eV/f.u.


Entry from Alexandria: a geometry-optimized Li5SiGe structure (GGA-PBE).

Unit cell a=6.754 b=6.754 c=9.975 alpha=49.04 beta=49.04 gamma=44.73
Positions (direct):
Li1 0.806 0.733 0.048
Li2 0.344 0.353 0.609
Li3 0.733 0.806 0.548
Li4 0.230 0.770 0.250
Li5 0.647 0.656 0.891
Li6 0.353 0.344 0.109
Li7 0.770 0.230 0.750
Li8 0.267 0.194 0.452
Li9 0.656 0.647 0.391
Li10 0.194 0.267 0.952
Si1 0.717 0.283 0.250
Si2 0.283 0.717 0.750
Ge1 0.000 0.000 0.000
Ge2 0.000 0.000 0.500

Computed properties:
E	-2.962	eV/atom


Entry from Alexandria: a geometry-optimized TaCdIn2 structure (GGA-PBE).

Unit cell a=4.200 b=4.453 c=4.453 alpha=90.00 beta=90.00 gamma=90.00
Positions (direct):
Cd1 0.500 0.000 0.500
In1 0.000 0.000 0.000
In2 0.000 0.500 0.500
Ta1 0.500 0.500 0.000

Computed properties:
DFT formation energy	1.30	eV/f.u.


Entry from Alexandria: a geometry-optimized ThAg4Hg structure (GGA-PBE).

Unit cell a=5.624 b=5.624 c=5.624 alpha=60.00 beta=60.00 gamma=60.00
Positions (direct):
Ag1 0.625 0.625 0.124
Ag2 0.625 0.124 0.625
Ag3 0.625 0.625 0.625
Ag4 0.124 0.625 0.625
Hg1 0.000 0.000 0.000
Th1 0.250 0.250 0.250

Computed properties:
DFT formation energy	-0.66	eV/f.u.


Entry from Alexandria: a geometry-optimized ErBiF structure (GGA-PBE).

Unit cell a=4.924 b=3.939 c=3.939 alpha=120.00 beta=90.00 gamma=90.00
Positions (direct):
F1 0.166 0.333 0.667
Bi1 0.667 0.667 0.333
Er1 0.167 0.000 0.000

Computed properties:
E	-5.421	eV/atom


Entry from Alexandria: a geometry-optimized ZrScPdRu2 structure (GGA-PBE).

Unit cell a=4.755 b=4.860 c=4.755 alpha=90.00 beta=90.00 gamma=90.00
Positions (direct):
Sc1 0.500 0.500 0.500
Ru1 0.000 0.000 0.500
Ru2 0.500 0.000 0.000
Zr1 0.000 0.000 0.000
Pd1 0.000 0.500 0.000

Computed properties:
DFT formation energy	3.58	eV/f.u.


Entry from Alexandria: a geometry-optimized Ba2AgGePd structure (GGA-PBE).

Unit cell a=6.280 b=4.786 c=6.280 alpha=90.00 beta=90.00 gamma=90.00
Positions (direct):
Ge1 0.000 0.000 0.000
Pd1 0.500 0.500 0.500
Ba1 0.000 0.000 0.500
Ba2 0.500 0.000 0.000
Ag1 0.000 0.500 0.000

Computed properties:
DFT formation energy	-0.13	eV/f.u.


Entry from Alexandria: a geometry-optimized CsTeOsN2 structure (GGA-PBE).

Unit cell a=4.184 b=4.184 c=5.586 alpha=90.00 beta=90.00 gamma=90.00
Positions (direct):
Cs1 0.500 0.500 0.500
Te1 0.000 0.000 0.500
Os1 0.000 0.000 0.000
N1 0.000 0.500 0.000
N2 0.500 0.000 0.000

Computed properties:
E	-5.253	eV/atom


Entry from Alexandria: a geometry-optimized Ac4PrAg3 structure (GGA-PBE).

Unit cell a=4.149 b=5.162 c=12.694 alpha=90.00 beta=90.00 gamma=90.00
Positions (direct):
Pr1 0.500 0.500 0.067
Ac1 0.500 0.500 0.365
Ac2 0.000 0.500 0.834
Ac3 0.000 0.000 0.169
Ac4 0.500 0.000 0.637
Ag1 0.000 0.500 0.571
Ag2 0.000 0.000 0.436
Ag3 0.500 0.000 0.921

Computed properties:
DFT formation energy	-1.10	eV/f.u.


Entry from Alexandria: a geometry-optimized LaAlCu2 structure (GGA-PBE).

Unit cell a=3.104 b=3.104 c=7.380 alpha=90.00 beta=90.00 gamma=90.00
Positions (direct):
Al1 0.500 0.500 0.750
Cu1 0.000 0.000 0.938
Cu2 0.000 0.000 0.562
La1 0.500 0.500 0.250

Computed properties:
DFT formation energy	-0.48	eV/f.u.


Entry from Alexandria: a geometry-optimized HgMoIr2 structure (GGA-PBE).

Unit cell a=7.295 b=7.295 c=5.858 alpha=51.49 beta=51.49 gamma=90.00
Positions (direct):
Mo1 0.500 0.500 0.000
Mo2 0.250 0.750 0.500
Ir1 0.580 0.125 0.250
Ir2 0.170 0.625 0.250
Ir3 0.375 0.420 0.750
Ir4 0.875 0.830 0.750
Hg1 0.000 0.000 0.000
Hg2 0.750 0.250 0.500

Computed properties:
DFT formation energy	2.51	eV/f.u.


Entry from Alexandria: a geometry-optimized Ta2ZnCoH structure (GGA-PBE).

Unit cell a=4.849 b=2.967 c=4.849 alpha=90.00 beta=90.00 gamma=90.00
Positions (direct):
H1 0.000 0.500 0.000
Zn1 0.500 0.500 0.500
Co1 0.000 0.000 0.000
Ta1 0.000 0.000 0.500
Ta2 0.500 0.000 0.000

Computed properties:
E	-6.565	eV/atom


Entry from Alexandria: a geometry-optimized Nb2ZnB structure (GGA-PBE).

Unit cell a=4.311 b=4.311 c=4.311 alpha=60.00 beta=60.00 gamma=60.00
Positions (direct):
Nb1 0.250 0.250 0.250
Nb2 0.750 0.750 0.750
B1 0.000 0.000 0.000
Zn1 0.500 0.500 0.500

Computed properties:
DFT formation energy	1.20	eV/f.u.


Entry from Alexandria: a geometry-optimized Y2Ga2S structure (GGA-PBE).

Unit cell a=7.262 b=7.262 c=4.612 alpha=90.00 beta=90.00 gamma=90.00
Positions (direct):
Y1 0.326 0.826 0.000
Y2 0.826 0.674 0.000
Y3 0.674 0.174 0.000
Y4 0.174 0.326 0.000
S1 0.000 0.000 0.000
S2 0.500 0.500 0.000
Ga1 0.127 0.627 0.500
Ga2 0.627 0.873 0.500
Ga3 0.873 0.373 0.500
Ga4 0.373 0.127 0.500

Computed properties:
E	-5.509	eV/atom